# Ca2MgOs, relaxed, DFT PBEsol
data_Ca2MgOs
_chemical_formula_sum 'Ca6 Mg3 Os3'
_space_group_name_H-M_alt 'R -3 m'
_space_group_IT_number 166
_space_group_name_Hall '-R 3 2"'
_cell_length_a 3.2865
_cell_length_b 3.2865
_cell_length_c 30.6487
_cell_angle_alpha 90.00
_cell_angle_beta 90.00
_cell_angle_gamma 120.00
loop_
_atom_site_label
_atom_site_fract_x
_atom_site_fract_y
_atom_site_fract_z
Ca1 0.0000 0.0000 0.2347
Mg1 0.0000 0.0000 0.0000
Os1 0.0000 0.0000 0.5000
# density = 5.12 Mg/m³
# ΔE_f = 0.485 eV per atom
# density of states at the Fermi level = 0.607 states/eV/atom
# E = -4.065 eV/atom


# Ca3MgOs, relaxed, DFT PBEsol
data_Ca3MgOs
_chemical_formula_sum 'Ca3 Mg1 Os1'
_space_group_name_H-M_alt 'P m -3 m'
_space_group_IT_number 221
_space_group_name_Hall '-P 4 2 3'
_cell_length_a 5.442
_cell_length_b 5.442
_cell_length_c 5.442
_cell_angle_alpha 90.00
_cell_angle_beta 90.00
_cell_angle_gamma 90.00
loop_
_atom_site_label
_atom_site_fract_x
_atom_site_fract_y
_atom_site_fract_z
Ca1 0.000 0.000 0.500
Mg1 0.500 0.500 0.500
Os1 0.000 0.000 0.000
# density = 3.45 Mg/m³
# ΔE_f = 0.388 eV per atom
# density of states at the Fermi level = 1.206 states/eV/atom
# E = -3.679 eV/atom


# CaMgOs2, relaxed, DFT PBEsol
data_CaMgOs2
_chemical_formula_sum 'Ca2 Mg2 Os4'
_space_group_name_H-M_alt 'I m m m'
_space_group_IT_number 71
_space_group_name_Hall '-I 2 2'
_cell_length_a 3.006
_cell_length_b 4.744
_cell_length_c 9.261
_cell_angle_alpha 90.00
_cell_angle_beta 90.00
_cell_angle_gamma 90.00
loop_
_atom_site_label
_atom_site_fract_x
_atom_site_fract_y
_atom_site_fract_z
Ca1 0.000 0.000 0.000
Mg1 0.000 0.000 0.500
Os1 0.000 0.500 0.240
# density = 11.19 Mg/m³
# ΔE_f = 0.590 eV per atom
# density of states at the Fermi level = 0.888 states/eV/atom
# E = -6.481 eV/atom


# CaMgOs2, relaxed, DFT PBEsol
data_CaMgOs2
_chemical_formula_sum 'Ca2 Mg2 Os4'
_space_group_name_H-M_alt 'C 1 2/m 1'
_space_group_IT_number 12
_cell_length_a 5.611
_cell_length_b 9.261
_cell_length_c 2.746
_cell_angle_alpha 90.00
_cell_angle_beta 113.01
_cell_angle_gamma 90.00
loop_
_space_group_symop_operation_xyz
'x,y,z'
'-x,-y,-z'
'-x,y,-z'
'x,-y,z'
'x+1/2,y+1/2,z'
'-x+1/2,-y+1/2,-z'
'-x+1/2,y+1/2,-z'
'x+1/2,-y+1/2,z'
loop_
_atom_site_label
_atom_site_fract_x
_atom_site_fract_y
_atom_site_fract_z
Ca1 0.000 0.000 0.000
Mg1 0.000 0.500 0.000
Os1 0.250 0.250 0.500
# density = 11.25 Mg/m³
# ΔE_f = 0.564 eV per atom
# density of states at the Fermi level = 0.855 states/eV/atom
# E = -6.506 eV/atom


# CaMgOs2Pb, relaxed, DFT PBEsol
data_CaMgOs2Pb
_chemical_formula_sum 'Ca1 Mg1 Os2 Pb1'
_space_group_name_H-M_alt 'P 4/m m m'
_space_group_IT_number 123
_space_group_name_Hall '-P 4 2'
_cell_length_a 5.021
_cell_length_b 5.021
_cell_length_c 4.998
_cell_angle_alpha 90.00
_cell_angle_beta 90.00
_cell_angle_gamma 90.00
loop_
_atom_site_label
_atom_site_fract_x
_atom_site_fract_y
_atom_site_fract_z
Ca1 0.000 0.000 0.000
Mg1 0.500 0.500 0.000
Os1 0.000 0.500 0.500
Pb1 0.500 0.500 0.500
# density = 8.59 Mg/m³
# ΔE_f = 1.619 eV per atom
# density of states at the Fermi level = 1.358 states/eV/atom
# E = -4.838 eV/atom


# CaMg2P2, relaxed, DFT PBEsol
data_CaMg2P2
_chemical_formula_sum 'Ca2 Mg4 P4'
_space_group_name_H-M_alt 'P 4/m b m'
_space_group_IT_number 127
_space_group_name_Hall '-P 4 2ab'
_cell_length_a 7.558
_cell_length_b 7.558
_cell_length_c 3.458
_cell_angle_alpha 90.00
_cell_angle_beta 90.00
_cell_angle_gamma 90.00
loop_
_atom_site_label
_atom_site_fract_x
_atom_site_fract_y
_atom_site_fract_z
Ca1 0.000 0.000 0.000
Mg1 0.136 0.364 0.500
P1 0.164 0.664 0.000
# density = 2.53 Mg/m³
# ΔE_f = -0.516 eV per atom
# density of states at the Fermi level = 0.383 states/eV/atom
# E = -3.946 eV/atom